[1]
Below is a geometry-optimized Pr2NiGePd6 structure, with properties calculated at the PBE level.

Unit cell a=5.460 b=8.479 c=6.534 alpha=50.78 beta=65.33 gamma=90.08
Positions (direct):
1 Ge 0.500 0.500 0.000
2 Pd 0.228 0.238 0.036
3 Pd 0.772 0.762 0.964
4 Pd 0.249 0.403 0.504
5 Pd 0.751 0.597 0.496
6 Pd 0.738 0.239 0.033
7 Pd 0.262 0.761 0.967
8 Pr 0.735 0.212 0.529
9 Pr 0.265 0.788 0.471
10 Ni 0.000 0.000 0.000

Output
Space-group type: No. 2
Total magnetization (Bohr magnetons per cell): 0.00
Energy of formation (eV per atom): -0.56
D(E_F) (states/eV per cell): 4.23



[2]
Below is a geometry-optimized Pr2Ni3Ge4Pd structure, with properties calculated at the PBE level.

Unit cell a=4.234 b=4.234 c=9.820 alpha=90.00 beta=90.00 gamma=90.00
Positions (direct):
1 Ge 0.000 0.000 0.000
2 Ge 0.000 0.500 0.363
3 Ge 0.500 0.500 0.000
4 Ge 0.500 0.000 0.637
5 Pr 0.000 0.500 0.755
6 Pr 0.500 0.000 0.245
7 Ni 0.000 0.500 0.119
8 Ni 0.500 0.000 0.881
9 Ni 0.000 0.000 0.500
10 Pd 0.500 0.500 0.500

Output
Space-group type: No. 115
Total magnetization (Bohr magnetons per cell): 0.00
Energy of formation (eV per atom): -0.72
D(E_F) (states/eV per cell): 6.77



[3]
Below is a geometry-optimized Pu2NiGe6Pd structure, with properties calculated at the PBE level.

Unit cell a=6.109 b=6.109 c=12.663 alpha=76.04 beta=76.04 gamma=60.00
Site moments in Bohr magnetons follow the coordinates.
Positions (direct):
1 Ge 0.776 0.776 0.114  -0.02
2 Ge 0.776 0.334 0.114  -0.02
3 Ge 0.074 0.662 0.601  -0.02
4 Ge 0.662 0.074 0.601  -0.02
5 Ge 0.334 0.776 0.114  -0.02
6 Ge 0.926 0.338 0.399  -0.02
7 Ge 0.338 0.338 0.399  -0.02
8 Ge 0.666 0.224 0.886  -0.02
9 Ge 0.338 0.926 0.399  -0.02
10 Ge 0.224 0.666 0.886  -0.02
11 Ge 0.662 0.662 0.601  -0.02
12 Ge 0.224 0.224 0.886  -0.02
13 Ni 0.500 0.500 0.500  0.05
14 Ni 0.000 0.000 0.000  0.08
15 Pd 0.572 0.572 0.284  0.01
16 Pd 0.428 0.428 0.716  0.01
17 Pu 0.294 0.294 0.118  5.28
18 Pu 0.706 0.706 0.882  5.28
19 Pu 0.891 0.891 0.326  5.38
20 Pu 0.109 0.109 0.674  5.38

Output
Space-group type: No. 166
Total magnetization (Bohr magnetons per cell): 22.18
Energy of formation (eV per atom): -0.26
D(E_F) (states/eV per cell): 40.24



[4]
Below is a geometry-optimized Pu2NiGe4Pd3 structure, with properties calculated at the PBE level.

Unit cell a=4.274 b=4.274 c=10.174 alpha=90.00 beta=90.00 gamma=90.00
Site moments in Bohr magnetons follow the coordinates.
Positions (direct):
1 Pu 0.000 0.500 0.746  5.25
2 Pu 0.500 0.000 0.254  5.25
3 Ge 0.000 0.000 0.000  -0.02
4 Ge 0.500 0.500 0.000  -0.02
5 Ge 0.500 0.000 0.623  -0.02
6 Ge 0.000 0.500 0.377  -0.02
7 Pd 0.000 0.000 0.500  0.01
8 Pd 0.000 0.500 0.134  -0.01
9 Pd 0.500 0.000 0.866  -0.01
10 Ni 0.500 0.500 0.500  0.06

Output
Space-group type: No. 115
Total magnetization (Bohr magnetons per cell): 10.91
Energy of formation (eV per atom): -0.53
D(E_F) (states/eV per cell): 28.77



[5]
Below is a geometry-optimized Pu2Ni4Ge3Pd structure, with properties calculated at the PBE level.

Unit cell a=3.894 b=3.894 c=10.774 alpha=90.00 beta=90.00 gamma=90.00
Site moments in Bohr magnetons follow the coordinates.
Positions (direct):
1 Ni 0.500 0.000 0.655  -0.17
2 Ni 0.000 0.500 0.345  -0.17
3 Ni 0.000 0.000 0.000  0.12
4 Ni 0.500 0.500 0.000  0.12
5 Pd 0.500 0.500 0.500  -0.04
6 Ge 0.000 0.000 0.500  -0.04
7 Ge 0.000 0.500 0.126  -0.02
8 Ge 0.500 0.000 0.874  -0.02
9 Pu 0.000 0.500 0.744  5.06
10 Pu 0.500 0.000 0.256  5.06

Output
Space-group type: No. 115
Total magnetization (Bohr magnetons per cell): 10.32
Energy of formation (eV per atom): -0.45
D(E_F) (states/eV per cell): 24.72



[6]
Below is a geometry-optimized NiGePdRh structure, with properties calculated at the PBE level.

Unit cell a=4.260 b=4.260 c=4.260 alpha=60.00 beta=60.00 gamma=60.00
Positions (direct):
1 Rh 0.000 0.000 0.000
2 Pd 0.500 0.500 0.500
3 Ni 0.250 0.250 0.250
4 Ge 0.750 0.750 0.750

Output
Space-group type: No. 216
Total magnetization (Bohr magnetons per cell): 0.00
Energy of formation (eV per atom): -0.28
D(E_F) (states/eV per cell): 3.78